PBE ScTaCu3, relaxed; density = 6.7 g/cm³; symmetry = No. 221; N(E_F) = 1.318 states/eV per atom; energy above the lowest structure with this stoichiometry = 0.000 eV/atom; E_form = 1.0134 eV per atom
1.0
4.699 0.000 0.000
0.000 4.699 0.000
0.000 0.000 4.699
Sc Ta Cu
1 1 3
Cartesian
0.000 0.000 0.000
2.349 2.349 2.349
0.000 2.349 2.349
2.349 0.000 2.349
2.349 2.349 0.000



PBE NiPt3S, relaxed; formation energy without anion corrections = 122.3 kJ/mol of atoms; density = 11.8 g/cm³; symmetry = No. 221; N(E_F) = 2.431 states/eV per atom; energy above the lowest structure with this stoichiometry = 0.677 eV/atom
1.0
4.570 0.000 0.000
0.000 4.570 0.000
0.000 0.000 4.570
Ni Pt S
1 3 1
Cartesian
0.000 0.000 0.000
0.000 0.000 2.285
0.000 2.285 0.000
2.285 0.000 0.000
2.285 2.285 2.285



PBE PPdRhCl2, relaxed; formation energy without anion corrections = 71.5 kJ/mol of atoms; density = 4.8 g/cm³; symmetry = No. 123; N(E_F) = 1.681 states/eV per atom; energy above the lowest structure with this stoichiometry = 0.351 eV/atom
1.0
4.839 0.000 0.000
0.000 4.839 0.000
0.000 0.000 4.629
P Pd Rh Cl
1 1 1 2
Cartesian
0.000 0.000 0.000
0.000 0.000 2.315
2.419 2.419 0.000
0.000 2.419 2.315
2.419 0.000 2.315



PBE KSi2Pb, relaxed; formation energy without anion corrections = 54.5 kJ/mol of atoms; density = 5.1 g/cm³; symmetry = No. 123; N(E_F) = 0.502 states/eV per atom
1.0
4.616 0.000 0.000
0.000 4.616 0.000
0.000 0.000 4.595
K Si Pb
1 2 1
Cartesian
0.000 0.000 0.000
0.000 2.308 2.297
2.308 0.000 2.297
2.308 2.308 0.000



PBE Sr2Zn15Au2, relaxed; density = 7.7 g/cm³; symmetry = No. 166; N(E_F) = 0.272 states/eV per atom; E_form = -0.2213 eV per atom
1.0
4.618 2.666 4.521
-4.618 2.666 4.521
0.000 -5.332 4.521
Sr Zn Au
2 15 2
Cartesian
0.000 0.000 2.146
0.000 0.000 11.416
-2.309 -1.333 4.521
0.000 -2.691 4.360
-2.330 1.345 4.360
-1.333 -2.309 6.781
-2.666 0.000 6.781
-2.330 -1.345 9.203
-2.309 1.333 9.042
1.333 -2.309 6.781
0.000 2.666 4.521
-1.333 2.309 6.781
2.330 1.345 4.360
2.666 0.000 6.781
1.333 2.309 6.781
2.330 -1.345 9.203
0.000 2.691 9.203
0.000 0.000 5.308
0.000 0.000 8.255



PBE HoLuAgHg, relaxed; density = 11.2 g/cm³; symmetry = No. 216; N(E_F) = 1.056 states/eV per atom; E_form = -0.4058 eV per atom
1.0
0.000 3.635 3.635
3.635 0.000 3.635
3.635 3.635 0.000
Ho Lu Ag Hg
1 1 1 1
Cartesian
0.000 0.000 0.000
3.635 3.635 3.635
1.817 1.817 1.817
5.452 5.452 5.452